Record 1
Material: NpTiSb2
Method: DFT, PBE-GGA
State: relaxed

Total energy, hartree per atom: -0.279
Symmetry: P4/nmm (129)

a = 4.277 Å, b = 4.277 Å, c = 10.484 Å
α = 90.00°, β = 90.00°, γ = 90.00°
Atoms (fractional coordinates):
1 Np 0.250 0.250 0.233
2 Np 0.750 0.750 0.767
3 Ti 0.250 0.750 0.500
4 Ti 0.750 0.250 0.500
5 Sb 0.250 0.250 0.680
6 Sb 0.250 0.750 0.000
7 Sb 0.750 0.250 0.000
8 Sb 0.750 0.750 0.320

=====

Record 2
Material: NpTiSb2
Method: DFT, PBE-GGA
State: relaxed

Total energy, hartree per atom: -0.274
Symmetry: P4/mmm (123)

a = 3.447 Å, b = 3.447 Å, c = 7.699 Å
α = 90.00°, β = 90.00°, γ = 90.00°
Atoms (fractional coordinates):
1 Np 0.000 0.000 0.000
2 Ti 0.000 0.000 0.500
3 Sb 0.500 0.500 0.281
4 Sb 0.500 0.500 0.719

=====

Record 3
Material: NpTiSb2
Method: DFT, PBE-GGA
State: relaxed

Total energy, hartree per atom: -0.277
Symmetry: R-3m (166)

a = 7.281 Å, b = 7.281 Å, c = 7.281 Å
α = 33.13°, β = 33.13°, γ = 33.13°
Atoms (fractional coordinates):
1 Np 0.000 0.000 0.000
2 Ti 0.500 0.500 0.500
3 Sb 0.239 0.239 0.239
4 Sb 0.761 0.761 0.761

=====

What is the formula in the third record? NpTiSb2

=====

Which value of total energy does entry 2 give? -0.274 hartree per atom

=====

What did the third record say?
Material: NpTiSb2
Method: DFT, PBE-GGA
State: relaxed

Total energy, hartree per atom: -0.277
Symmetry: R-3m (166)

a = 7.281 Å, b = 7.281 Å, c = 7.281 Å
α = 33.13°, β = 33.13°, γ = 33.13°
Atoms (fractional coordinates):
1 Np 0.000 0.000 0.000
2 Ti 0.500 0.500 0.500
3 Sb 0.239 0.239 0.239
4 Sb 0.761 0.761 0.761

=====

Copy entry 3 word for word.
Material: NpTiSb2
Method: DFT, PBE-GGA
State: relaxed

Total energy, hartree per atom: -0.277
Symmetry: R-3m (166)

a = 7.281 Å, b = 7.281 Å, c = 7.281 Å
α = 33.13°, β = 33.13°, γ = 33.13°
Atoms (fractional coordinates):
1 Np 0.000 0.000 0.000
2 Ti 0.500 0.500 0.500
3 Sb 0.239 0.239 0.239
4 Sb 0.761 0.761 0.761